# NbCo2BSe | the Alexandria database | PBE-GGA | optimized geometry
data_NbCo2BSe
_chemical_formula_sum 'Nb1 Co2 B1 Se1'
_symmetry_space_group_name_H-M 'P 4/m m m'
_symmetry_Int_Tables_number 123
_symmetry_space_group_name_Hall '-P 4 2'
_cell_length_a 4.587
_cell_length_b 4.587
_cell_length_c 4.931
_cell_angle_alpha 90.00
_cell_angle_beta 90.00
_cell_angle_gamma 90.00
loop_
_atom_site_label
_atom_site_type_symbol
_atom_site_fract_x
_atom_site_fract_y
_atom_site_fract_z
Nb1 Nb 0.000 0.000 0.000
Co1 Co 0.000 0.500 0.000
B1 B 0.500 0.500 0.500
Se1 Se 0.000 0.000 0.500
# E_form (uncorrected), eV/atom: 1.8310
# VASP energy, eV/cell: -25.3
# Calculated volume, Å³/cell: 104